Entry 1:
Computed, not measured: crystalline K2TlCl at its relaxed geometry at the GGA-PBEsol level of DFT.

a b c (Å): 3.7339 9.6843 3.8197
angles (deg): 90.00 90.00 90.01
Closest atoms and distances in Å follow each position.
Sites, in units of the cell vectors:
Cl 0.3749 0.9732 0.5000  6 K 3.05-3.07
Tl 0.3751 0.4883 0.0000  6 K 3.68-3.71, 4 Tl 3.73-3.82
K 0.8749 0.8164 0.0000  4 Cl 3.07
K 0.8751 0.2220 0.5000  2 Cl 3.05

Output
Calculated density: 3.824 Mg/m³
Formation energy from raw total energies: -0.844 eV per atom
Space-group type: Pmm2

=====

Entry 2:
Computed, not measured: crystalline CsInAu3 at its relaxed geometry at the GGA-PBEsol level of DFT.

a b c (Å): 5.8147 5.8147 5.8147
angles (deg): 90.00 90.00 90.00
Closest atoms and distances in Å follow each position.
Sites, in units of the cell vectors:
In 0.5000 0.5000 0.5000  12 Au 4.11
Au 0.5000 0.0000 0.0000  2 Cs 2.91
Au 0.0000 0.5000 0.0000  2 Cs 2.91
Au 0.0000 0.0000 0.5000  2 Cs 2.91
Cs 0.0000 0.0000 0.0000  6 Au 2.91

Output
Calculated density: 7.083 Mg/m³
Formation energy from the elements: 1257 meV per atom
Space-group type: Pm-3m

=====

Entry 3:
Computed, not measured: crystalline Li2ScSn2 at its relaxed geometry at the GGA-PBEsol level of DFT.

a b c (Å): 3.0774 7.8983 7.8983
angles (deg): 90.00 90.00 90.00
Closest atoms and distances in Å follow each position.
Sites, in units of the cell vectors:
Li 0.0000 0.6130 0.1130  1 Li 2.52, 2 Sn 2.75
Sc 0.0000 0.0000 0.0000  2 Sc 3.08, 4 Li 3.18, 8 Sn 3.28
Li 0.0000 0.3870 0.8870  1 Li 2.52, 2 Sn 2.75
Sc 0.0000 0.5000 0.5000  2 Sc 3.08, 4 Li 3.18, 8 Sn 3.28
Sn 0.5000 0.8174 0.3174  6 Li 2.75-2.85, 2 Sn 3.08
Sn 0.5000 0.3174 0.1826  6 Li 2.75-2.85, 2 Sn 3.08
Li 0.0000 0.1130 0.3870  1 Li 2.52, 2 Sn 2.75
Sn 0.5000 0.1826 0.6826  6 Li 2.75-2.85, 2 Sn 3.08
Sn 0.5000 0.6826 0.8174  6 Li 2.75-2.85, 2 Sn 3.08
Li 0.0000 0.8870 0.6130  1 Li 2.52, 2 Sn 2.75

Output
Calculated density: 5.125 Mg/m³
Formation energy from the elements: -415 meV per atom
Space-group type: P4/mbm

=====

Entry 4:
Computed, not measured: crystalline MgFeCl2 at its relaxed geometry at the GGA-PBEsol level of DFT.

a b c (Å): 3.0929 5.8307 5.8377
angles (deg): 71.14 74.64 74.62
Closest atoms and distances in Å follow each position.
Sites, in units of the cell vectors:
Mg 0.7585 0.8624 0.6207  4 Cl 2.65-2.66, 2 Fe 2.77
Cl 0.1193 0.2621 0.4994  2 Fe 2.44, 2 Mg 2.66
Fe 0.5149 0.6083 0.3618  4 Cl 2.44-2.45
Cl 0.1073 0.7673 0.0181  2 Fe 2.45, 2 Mg 2.65

Output
Calculated density: 2.663 Mg/m³
Formation energy from raw total energies: -0.413 eV per atom
Space-group type: Cm

=====

Entry 5:
Computed, not measured: crystalline LaIrF2 at its relaxed geometry at the GGA-PBEsol level of DFT.

a b c (Å): 4.0345 4.0345 8.5253
angles (deg): 103.69 103.69 90.00
Closest atoms and distances in Å follow each position.
Sites, in units of the cell vectors:
Ir 0.2500 0.7500 0.5000  4 F 2.43
F 0.3509 0.8750 0.2500  2 Ir 2.43, 2 La 2.50
Ir 0.0000 0.0000 0.0000  4 F 2.43
La 0.5000 0.5000 0.0000  4 F 2.50
La 0.7500 0.2500 0.5000  4 F 2.50
F 0.6250 0.6491 0.7500  2 Ir 2.43, 2 La 2.50
F 0.8991 0.3750 0.2500  2 Ir 2.43, 2 La 2.50
F 0.1250 0.1009 0.7500  2 Ir 2.43, 2 La 2.50

Output
Calculated density: 9.374 Mg/m³
Formation energy from raw total energies: -1.568 eV per atom
Space-group type: I-42d

=====

Entry 6:
Computed, not measured: crystalline LiScCl at its relaxed geometry at the GGA-PBEsol level of DFT.

a b c (Å): 4.5281 4.5281 4.5281
angles (deg): 60.00 60.00 60.00
Closest atoms and distances in Å follow each position.
Sites, in units of the cell vectors:
Li 0.5000 0.5000 0.5000  4 Sc 2.77
Cl 0.0000 0.0000 0.0000  4 Sc 2.77
Sc 0.2500 0.2500 0.2500  4 Cl 2.77, 4 Li 2.77

Output
Calculated density: 2.209 Mg/m³
Formation energy from raw total energies: 0.007 eV per atom
Space-group type: F-43m

=====

no.,V (Å³/atom)
1,34.5
2,39.3
3,19.2
4,23.5
5,16.3
6,21.9